#A
# HgSbMo (PBE, optimized geometry)
data_HgSbMo
_cell_length_a 6.5681
_cell_length_b 6.5681
_cell_length_c 6.5681
_cell_angle_alpha 90.00
_cell_angle_beta 90.00
_cell_angle_gamma 90.00
_space_group_name_H-M_alt 'F -4 3 m'
_space_group_IT_number 216
_space_group_name_Hall 'F -4 2 3'
loop_
_atom_site_label
_atom_site_fract_x
_atom_site_fract_y
_atom_site_fract_z
Hg1 0.0000 0.0000 0.0000
Sb1 0.0000 0.0000 0.5000
Mo1 0.2500 0.2500 0.7500
# * total magnetic moment: 1.2 μB/f.u.
# * volume: 283 Å³ per cell
# * density: 9.805 Mg/m³

***

#B
# HgSbMo (PBE, optimized geometry)
data_HgSbMo
_cell_length_a 3.2705
_cell_length_b 3.2705
_cell_length_c 7.0791
_cell_angle_alpha 90.00
_cell_angle_beta 90.00
_cell_angle_gamma 120.00
_space_group_name_H-M_alt 'P 3 m 1'
_space_group_IT_number 156
loop_
_space_group_symop_operation_xyz
'x,y,z'
'-y,x-y,z'
'-x+y,-x,z'
'-y,-x,z'
'-x+y,y,z'
'x,x-y,z'
loop_
_atom_site_label
_atom_site_fract_x
_atom_site_fract_y
_atom_site_fract_z
Hg1 0.0000 0.0000 0.0000
Sb1 0.3333 0.6667 0.5994
Mo1 0.6667 0.3333 0.3213
# * total magnetic moment: 0.0 μB/f.u.
# * volume: 66 Å³ per cell
# * density: 10.592 Mg/m³

***

#C
# HgSbMo (PBE, optimized geometry)
data_HgSbMo
_cell_length_a 4.8562
_cell_length_b 4.8562
_cell_length_c 3.0315
_cell_angle_alpha 90.00
_cell_angle_beta 90.00
_cell_angle_gamma 120.00
_space_group_name_H-M_alt 'P -6 m 2'
_space_group_IT_number 187
_space_group_name_Hall 'P -6 2'
loop_
_atom_site_label
_atom_site_fract_x
_atom_site_fract_y
_atom_site_fract_z
Hg1 0.0000 0.0000 0.0000
Sb1 0.3333 0.6667 0.5000
Mo1 0.6667 0.3333 0.5000
# * total magnetic moment: 0.0 μB/f.u.
# * volume: 62 Å³ per cell
# * density: 11.219 Mg/m³

***

It turns out #B is the most stable, with the second structure 144 meV/atom higher.

***

#A
# HgSbMo (PBE, optimized geometry)
data_HgSbMo
_cell_length_a 3.4875
_cell_length_b 3.4875
_cell_length_c 10.1422
_cell_angle_alpha 90.00
_cell_angle_beta 90.00
_cell_angle_gamma 90.00
_space_group_name_H-M_alt 'I 4 m m'
_space_group_IT_number 107
_space_group_name_Hall 'I 4 -2'
loop_
_atom_site_label
_atom_site_fract_x
_atom_site_fract_y
_atom_site_fract_z
Hg1 0.0000 0.0000 0.0000
Sb1 0.0000 0.0000 0.6954
Mo1 0.0000 0.0000 0.3222
# * total magnetic moment: 0.5 μB/f.u.
# * volume: 123 Å³ per cell
# * density: 11.261 Mg/m³

***

#B
# HgSbMo (PBE, optimized geometry)
data_HgSbMo
_cell_length_a 4.4645
_cell_length_b 4.4743
_cell_length_c 13.7328
_cell_angle_alpha 90.00
_cell_angle_beta 90.00
_cell_angle_gamma 90.00
_space_group_name_H-M_alt 'F m m 2'
_space_group_IT_number 42
_space_group_name_Hall 'F 2 -2'
loop_
_atom_site_label
_atom_site_fract_x
_atom_site_fract_y
_atom_site_fract_z
Hg1 0.0000 0.0000 0.0000
Sb1 0.0000 0.0000 0.2716
Mo1 0.0000 0.0000 0.6392
# * total magnetic moment: 1.1 μB/f.u.
# * volume: 274 Å³ per cell
# * density: 10.128 Mg/m³

***

It turns out #A is the most stable, with the second structure 73 meV/atom higher.

***

#A
# HgSbMo3 (PBE, optimized geometry)
data_HgSbMo3
_cell_length_a 4.9075
_cell_length_b 4.9075
_cell_length_c 4.9075
_cell_angle_alpha 90.00
_cell_angle_beta 90.00
_cell_angle_gamma 90.00
_space_group_name_H-M_alt 'P m -3 m'
_space_group_IT_number 221
_space_group_name_Hall '-P 4 2 3'
loop_
_atom_site_label
_atom_site_fract_x
_atom_site_fract_y
_atom_site_fract_z
Hg1 0.0000 0.0000 0.0000
Sb1 0.5000 0.5000 0.5000
Mo1 0.0000 0.5000 0.5000
# * total magnetic moment: 0.0 μB/f.u.
# * volume: 118 Å³ per cell
# * density: 8.573 Mg/m³

***

#B
# HgSbMo3 (PBE, optimized geometry)
data_HgSbMo3
_cell_length_a 5.0139
_cell_length_b 5.0139
_cell_length_c 5.0139
_cell_angle_alpha 90.00
_cell_angle_beta 90.00
_cell_angle_gamma 90.00
_space_group_name_H-M_alt 'P m -3 m'
_space_group_IT_number 221
_space_group_name_Hall '-P 4 2 3'
loop_
_atom_site_label
_atom_site_fract_x
_atom_site_fract_y
_atom_site_fract_z
Hg1 0.0000 0.0000 0.0000
Sb1 0.5000 0.5000 0.5000
Mo1 0.0000 0.0000 0.5000
# * total magnetic moment: 5.3 μB/f.u.
# * volume: 126 Å³ per cell
# * density: 8.039 Mg/m³

***

It turns out #A is the most stable, with the second structure 405 meV/atom higher.